## Zn2Cd8Au (PBE)

Data for Zn2Cd8Au after structural relaxation.

Computed properties:
Fermi-level density of states: 0.1321 states/eV per atom
Raw total energy: -1.1936 eV per atom

Lattice parameters (Å, degrees): 16.888 4.616 6.544 90.00 112.36 90.00
Space group C2/m (No. 12)
Symmetry-distinct sites (fractional):
Zn1 0.184 0.000 0.187 (multiplicity 4)
Cd1 0.022 0.000 0.259 (multiplicity 4)
Cd2 0.108 0.500 0.945 (multiplicity 4)
Cd3 0.162 0.500 0.437 (multiplicity 4)
Cd4 0.189 0.000 0.759 (multiplicity 4)
Au1 0.000 0.500 0.500 (multiplicity 2)

## VCr2C (PBE)

Data for VCr2C after structural relaxation.

Computed properties:
Fermi-level density of states: 0.7662 states/eV per atom
Raw total energy: -9.2919 eV per atom

Lattice parameters (Å, degrees): 6.575 6.575 4.140 90.00 90.00 90.00
Space group I-42d (No. 122)
Symmetry-distinct sites (fractional):
V1 0.000 0.000 0.000 (multiplicity 4)
Cr1 0.141 0.750 0.625 (multiplicity 8)
C1 0.000 0.000 0.500 (multiplicity 4)

## CaAl4Ag6 (PBE)

Data for CaAl4Ag6 after structural relaxation.

Computed properties:
Fermi-level density of states: 0.4699 states/eV per atom
Excess energy over the best structure of this formula in the dataset: 0 meV/atom

Lattice parameters (Å, degrees): 7.4651 7.4651 4.3422 90.00 90.00 120.00
Space group P-6m2 (No. 187)
Symmetry-distinct sites (fractional):
Ca1 0.0000 0.0000 0.0000 (multiplicity 1)
Al1 0.3333 0.6667 0.0000 (multiplicity 1)
Al2 0.4035 0.2018 0.5000 (multiplicity 3)
Ag1 0.2015 0.4029 0.5000 (multiplicity 3)
Ag2 0.5352 0.0704 0.0000 (multiplicity 3)

## Pm8Pr6Sc (PBE)

Data for Pm8Pr6Sc after structural relaxation.

Computed properties:
Fermi-level density of states: 1.4751 states/eV per atom
Excess energy over the best structure of this formula in the dataset: 0 meV/atom

Lattice parameters (Å, degrees): 9.2837 9.2837 21.0530 90.00 90.00 120.00
Space group R-3 (No. 148, hexagonal axes)
Symmetry-distinct sites (fractional):
Pm1 0.0000 0.0000 0.0776 (multiplicity 6)
Pm2 0.0820 0.5597 0.3053 (multiplicity 18)
Pr1 0.0564 0.2503 0.2083 (multiplicity 18)
Sc1 0.0000 0.0000 0.5000 (multiplicity 3)

## HoNbFe10 (PBE)

Data for HoNbFe10 after structural relaxation.

Computed properties:
Fermi-level density of states: 1.0791 states/eV per atom
Raw total energy: -8.2504 eV per atom

Lattice parameters (Å, degrees): 3.970 4.842 8.356 90.00 90.00 90.00
Space group Pmmm (No. 47)
Symmetry-distinct sites (fractional):
Ho1 0.000 0.000 0.000 (multiplicity 1)
Nb1 0.000 0.500 0.500 (multiplicity 1)
Fe1 0.000 0.000 0.343 (multiplicity 2)
Fe2 0.000 0.500 0.180 (multiplicity 2)
Fe3 0.500 0.000 0.500 (multiplicity 1)
Fe4 0.500 0.253 0.257 (multiplicity 4)
Fe5 0.500 0.500 0.000 (multiplicity 1)

## K3HfBr (PBE)

Data for K3HfBr after structural relaxation.

Computed properties:
Fermi-level density of states: 3.2595 states/eV per atom
Excess energy over the best structure of this formula in the dataset: 396 meV/atom
Raw formation energy: 3.72 eV/f.u.

Lattice parameters (Å, degrees): 6.778 6.778 6.778 90.00 90.00 90.00
Space group Pm-3m (No. 221)
Symmetry-distinct sites (fractional):
K1 0.000 0.000 0.500 (multiplicity 3)
Hf1 0.000 0.000 0.000 (multiplicity 1)
Br1 0.500 0.500 0.500 (multiplicity 1)

Which of these has the lowest Fermi-level density of states?
Zn2Cd8Au